The following is a PBE+U calculation of an optimized crystal structure of KRb2W2O7, from Alexandria via LeMat-Bulk.

Unit cell a=11.627 b=11.627 c=11.627 alpha=160.11 beta=160.11 gamma=28.27
Sites, in units of the cell vectors:
1 K 0.000 0.000 0.000
2 Rb 0.190 0.190 0.000
3 Rb 0.810 0.810 0.000
4 W 0.410 0.410 0.000
5 W 0.590 0.590 0.000
6 O 0.087 0.587 0.500
7 O 0.327 0.327 0.000
8 O 0.413 0.913 0.500
9 O 0.500 0.500 0.000
10 O 0.587 0.087 0.500
11 O 0.673 0.673 0.000
12 O 0.913 0.413 0.500

* crystal system: tetragonal
* energy: -6.332 eV/atom